The following is a DFT calculation (PBE-GGA) of a relaxed structure of HPb2Se.

- calculated volume (Å³ per cell) = 219.5
- polymorph energy (0 for the lowest one) (meV per atom) = 0
- total magnetization (μB per atom) = 0.000

Cell lengths 6.164, 6.164, 7.237 Å; angles 64.79, 64.79, 90.00 degrees
Atoms (fractional coordinates):
H  0.250  0.750  0.500
H  0.500  0.500  0.000
Pb  0.205  0.625  0.250
Se  0.000  0.000  0.000
Pb  0.875  0.795  0.750
Pb  0.545  0.125  0.250
Pb  0.375  0.455  0.750
Se  0.750  0.250  0.500